Pb2SI2, optimized geometry, DFT PBE; distance to the lowest polymorph of the same formula = 0.000 eV/atom; VASP energy = -3.5001 eV per atom
1.0
12.047 0.000 0.000
0.000 8.334 0.000
0.000 0.000 7.735
Pb S I
8 4 8
Direct
0.089 0.208 0.025
0.089 0.792 0.525
0.411 0.292 0.525
0.411 0.708 0.025
0.589 0.292 0.975
0.589 0.708 0.475
0.911 0.208 0.475
0.911 0.792 0.975
0.000 0.023 0.750
0.000 0.977 0.250
0.500 0.477 0.250
0.500 0.523 0.750
0.152 0.385 0.417
0.152 0.615 0.917
0.348 0.115 0.917
0.348 0.885 0.417
0.652 0.115 0.583
0.652 0.885 0.083
0.848 0.385 0.083
0.848 0.615 0.583

=====

Li6MgCu, optimized geometry, DFT PBE; ΔH_f (0 K) = -0.001 eV/atom; VASP energy = -2.1476 eV per atom
1.0
4.133 0.000 0.000
0.000 4.133 0.000
0.000 0.000 8.191
Li Mg Cu
6 1 1
Direct
0.000 0.000 0.000
0.000 0.000 0.500
0.000 0.500 0.224
0.000 0.500 0.776
0.500 0.000 0.224
0.500 0.000 0.776
0.500 0.500 0.500
0.500 0.500 0.000

=====

ReRhW, optimized geometry, DFT PBE; distance to the lowest polymorph of the same formula = 0.610 eV/atom; ΔH_f (0 K) = 0.622 eV/atom; VASP energy = -10.2957 eV per atom
1.0
0.000 2.996 2.996
2.996 0.000 2.996
2.996 2.996 0.000
Re Rh W
1 1 1
Direct
0.000 0.000 0.000
0.500 0.500 0.500
0.750 0.750 0.750

=====

LiTaMn2, optimized geometry, DFT PBE; ΔH_f (0 K) = 0.301 eV/atom; VASP energy = -7.7254 eV per atom
1.0
2.794 0.000 0.000
0.000 2.794 0.000
0.000 0.000 6.993
Li Ta Mn
1 1 2
Direct
0.000 0.000 0.000
0.500 0.500 0.687
0.000 0.000 0.412
0.500 0.500 0.245

=====

AlFeW, optimized geometry, DFT PBE; distance to the lowest polymorph of the same formula = 0.117 eV/atom; ΔH_f (0 K) = -0.030 eV/atom; VASP energy = -8.4165 eV per atom
1.0
4.146 0.000 0.000
-2.073 3.590 0.000
0.000 0.000 2.743
Al Fe W
1 1 1
Direct
0.000 0.000 0.000
0.333 0.667 0.257
0.667 0.333 0.541

=====

LaGe7Os2, optimized geometry, DFT PBE; ΔH_f (0 K) = 0.108 eV/atom; VASP energy = -5.8629 eV per atom
1.0
4.109 -6.667 0.000
4.109 6.667 0.000
0.000 0.000 4.137
La Ge Os
1 7 2
Direct
0.000 0.000 0.000
0.048 0.344 0.500
0.230 0.770 0.000
0.344 0.048 0.500
0.500 0.500 0.500
0.656 0.952 0.500
0.770 0.230 0.000
0.952 0.656 0.500
0.323 0.677 0.500
0.677 0.323 0.500

=====

Cu2Pd5PtAu, optimized geometry, DFT PBE; ΔH_f (0 K) = 0.188 eV/atom; VASP energy = -4.6421 eV per atom
1.0
-3.055 3.055 7.671
3.055 -3.055 7.671
3.055 3.055 -7.671
Cu Pd Pt Au
4 10 2 2
Direct
0.125 0.625 0.750
0.375 0.125 0.500
0.625 0.875 0.500
0.875 0.375 0.250
0.000 0.000 0.000
0.079 0.164 0.500
0.164 0.664 0.085
0.336 0.421 0.500
0.421 0.921 0.085
0.500 0.500 0.000
0.579 0.079 0.915
0.664 0.579 0.500
0.836 0.336 0.915
0.921 0.836 0.500
0.250 0.750 0.500
0.750 0.250 0.500
0.250 0.250 0.000
0.750 0.750 0.000

=====

PaGa2Au, optimized geometry, DFT PBE; ΔH_f (0 K) = -0.308 eV/atom; VASP energy = -5.0144 eV per atom
1.0
2.158 1.246 5.019
-2.158 1.246 5.019
0.000 -2.491 5.019
Pa Ga Au
1 2 1
Direct
0.000 0.000 0.000
0.226 0.226 0.226
0.774 0.774 0.774
0.500 0.500 0.500

=====

Question: Number 5 is which compound?
Answer: AlFeW